(1)
VASP calculation (PBE) on an optimized crystal structure of Tb2Pm5Tm.

Unit cell a=7.2154 b=14.4431 c=5.0949 alpha=90.00 beta=90.00 gamma=90.00
Fractional coordinates of all 16 atoms:
Tb: 0.2497 0.1241 0.0000
Tb: 0.2503 0.6241 0.0000
Tb: 0.7497 0.3759 0.0000
Tb: 0.7503 0.8759 0.0000
Pm: 0.0000 0.0000 0.5000
Pm: 0.0011 0.7487 0.5000
Pm: 0.2485 0.3760 0.0000
Pm: 0.2515 0.8760 0.0000
Pm: 0.4989 0.2487 0.5000
Pm: 0.5000 0.5000 0.5000
Pm: 0.5011 0.7513 0.5000
Pm: 0.7485 0.1240 0.0000
Pm: 0.7515 0.6240 0.0000
Pm: 0.9989 0.2513 0.5000
Tm: 0.0000 0.5000 0.5000
Tm: 0.5000 0.0000 0.5000

## Properties
Total energy: -74.71 eV per cell
Symmetry: Pbam, No. 55



(2)
VASP calculation (PBE) on an optimized crystal structure of Li2NdUSe4.

Unit cell a=6.9703 b=4.1264 c=7.1616 alpha=90.00 beta=109.99 gamma=90.00
Fractional coordinates of all 8 atoms:
Li: 0.0000 0.0000 0.0000
Li: 0.0000 0.5000 0.5000
Nd: 0.5000 0.0000 0.5000
U: 0.5000 0.5000 0.0000
Se: 0.2386 0.5000 0.2391
Se: 0.2414 0.0000 0.7535
Se: 0.7586 0.0000 0.2465
Se: 0.7614 0.5000 0.7609

## Properties
Total energy: -45.06 eV per cell
Symmetry: P2/m, No. 10



(3)
VASP calculation (PBE) on an optimized crystal structure of ZrCuSb2I.

Unit cell a=5.6078 b=5.6078 c=5.6375 alpha=90.00 beta=90.00 gamma=90.00
Fractional coordinates of all 5 atoms:
Zr: 0.0000 0.0000 0.0000
Cu: 0.5000 0.5000 0.5000
Sb: 0.0000 0.5000 0.0000
Sb: 0.5000 0.0000 0.0000
I: 0.0000 0.0000 0.5000

## Properties
E above lowest polymorph: 0.00 eV/f.u.
Symmetry: P4/mmm, No. 123



(4)
VASP calculation (PBE) on an optimized crystal structure of Tb2Er3Pb2.

Unit cell a=11.9716 b=4.4591 c=8.4958 alpha=90.00 beta=109.77 gamma=90.00
Fractional coordinates of all 14 atoms:
Tb: 0.1299 0.0000 0.2792
Tb: 0.3701 0.5000 0.7208
Tb: 0.6299 0.5000 0.2792
Tb: 0.8701 0.0000 0.7208
Er: 0.0000 0.5000 0.5000
Er: 0.1234 0.5000 0.9372
Er: 0.3766 0.0000 0.0628
Er: 0.5000 0.0000 0.5000
Er: 0.6234 0.0000 0.9372
Er: 0.8766 0.5000 0.0628
Pb: 0.1739 0.0000 0.6954
Pb: 0.3261 0.5000 0.3046
Pb: 0.6739 0.5000 0.6954
Pb: 0.8261 0.0000 0.3046

## Properties
Total energy: -64.98 eV per cell
Symmetry: C2/m, No. 12



(5)
VASP calculation (PBE) on an optimized crystal structure of PaSi2Tc.

Unit cell a=6.7564 b=4.1083 c=10.1925 alpha=90.00 beta=90.00 gamma=90.00
Fractional coordinates of all 16 atoms:
Pa: 0.1760 0.2500 0.1303
Pa: 0.3240 0.7500 0.6303
Pa: 0.6760 0.2500 0.3697
Pa: 0.8240 0.7500 0.8697
Si: 0.1389 0.2500 0.8246
Si: 0.2072 0.2500 0.4194
Si: 0.2928 0.7500 0.9194
Si: 0.3611 0.7500 0.3246
Si: 0.6389 0.2500 0.6754
Si: 0.7072 0.2500 0.0806
Si: 0.7928 0.7500 0.5806
Si: 0.8611 0.7500 0.1754
Tc: 0.0062 0.7500 0.3895
Tc: 0.4938 0.2500 0.8895
Tc: 0.5062 0.7500 0.1105
Tc: 0.9938 0.2500 0.6105

## Properties
E above lowest polymorph: 0.00 eV/f.u.
Symmetry: Pnma, No. 62



(6)
VASP calculation (PBE) on an optimized crystal structure of ErPd5Au4.

Unit cell a=8.2751 b=9.4326 c=4.8148 alpha=90.00 beta=90.00 gamma=90.00
Fractional coordinates of all 20 atoms:
Er: 0.2500 0.2500 0.1012
Er: 0.7500 0.7500 0.8988
Pd: 0.0816 0.5067 0.2435
Pd: 0.0816 0.9933 0.2435
Pd: 0.2500 0.7500 0.0787
Pd: 0.4184 0.5067 0.2435
Pd: 0.4184 0.9933 0.2435
Pd: 0.5816 0.0067 0.7565
Pd: 0.5816 0.4933 0.7565
Pd: 0.7500 0.2500 0.9213
Pd: 0.9184 0.0067 0.7565
Pd: 0.9184 0.4933 0.7565
Au: 0.0518 0.7500 0.5772
Au: 0.2500 0.0006 0.7394
Au: 0.2500 0.4994 0.7394
Au: 0.4482 0.7500 0.5772
Au: 0.5518 0.2500 0.4228
Au: 0.7500 0.5006 0.2606
Au: 0.7500 0.9994 0.2606
Au: 0.9482 0.2500 0.4228

## Properties
Total energy: -92.83 eV per cell
Symmetry: Pmmn, No. 59



(7)
VASP calculation (PBE) on an optimized crystal structure of Tc2NiRh.

Unit cell a=2.6856 b=2.6856 c=7.5623 alpha=90.00 beta=90.00 gamma=90.00
Fractional coordinates of all 4 atoms:
Tc: 0.0000 0.0000 0.0000
Tc: 0.5000 0.5000 0.2721
Ni: 0.0000 0.0000 0.5034
Rh: 0.5000 0.5000 0.7525

## Properties
E above lowest polymorph: 0.37 eV/f.u.
Symmetry: P4mm, No. 99



(8)
VASP calculation (PBE) on an optimized crystal structure of TaSbCl2.

Unit cell a=5.0525 b=5.0525 c=3.1479 alpha=90.00 beta=90.00 gamma=90.00
Fractional coordinates of all 4 atoms:
Ta: 0.0000 0.0000 0.0000
Sb: 0.5000 0.5000 0.0000
Cl: 0.0000 0.5000 0.5000
Cl: 0.5000 0.0000 0.5000

## Properties
E above lowest polymorph: 5.06 eV/f.u.
Symmetry: P4/mmm, No. 123